No. 1
This record from the Alexandria database describes an optimized crystal structure of ScAgSnCl6. The functional is PBE-GGA.

Structure (CIF):
```
data_ScAgSnCl6
_symmetry_space_group_name_H-M 'P 1'
_symmetry_Int_Tables_number 1
_cell_length_a 6.7759
_cell_length_b 6.7759
_cell_length_c 12.2807
_cell_angle_alpha 90.00
_cell_angle_beta 90.00
_cell_angle_gamma 120.00
loop_
_symmetry_equiv_pos_as_xyz
'x,y,z'
loop_
_atom_site_label
_atom_site_fract_x
_atom_site_fract_y
_atom_site_fract_z
Sc1 0.3333 0.6667 0.2500
Sc2 0.6667 0.3333 0.7500
Ag1 0.3333 0.6667 0.7500
Ag2 0.6667 0.3333 0.2500
Sn1 0.0000 0.0000 0.0000
Sn2 0.0000 0.0000 0.5000
Cl1 0.0288 0.3648 0.1316
Cl2 0.0288 0.6641 0.3684
Cl3 0.3359 0.3648 0.3684
Cl4 0.3359 0.9712 0.1316
Cl5 0.3648 0.0288 0.6316
Cl6 0.3648 0.3359 0.8684
Cl7 0.6352 0.6641 0.1316
Cl8 0.6352 0.9712 0.3684
Cl9 0.6641 0.0288 0.8684
Cl10 0.6641 0.6352 0.6316
Cl11 0.9712 0.3359 0.6316
Cl12 0.9712 0.6352 0.8684
```

D(E_F) = 0.0 states/eV per cell
ΔE_f (raw) = -130.0 kJ per mole of atoms
space group = No. 163

---

No. 2
This record from the Alexandria database describes an optimized crystal structure of SrScCr2. The functional is PBE-GGA.

Structure (CIF):
```
data_SrScCr2
_symmetry_space_group_name_H-M 'P 1'
_symmetry_Int_Tables_number 1
_cell_length_a 6.5644
_cell_length_b 6.5644
_cell_length_c 6.5644
_cell_angle_alpha 148.00
_cell_angle_beta 137.83
_cell_angle_gamma 53.90
loop_
_symmetry_equiv_pos_as_xyz
'x,y,z'
loop_
_atom_site_label
_atom_site_fract_x
_atom_site_fract_y
_atom_site_fract_z
Sr1 0.0000 0.0000 0.0000
Sc1 0.7354 0.2354 0.5000
Cr1 0.2530 0.7530 0.5000
Cr2 0.3752 0.3752 0.0000
```

ΔE to the lowest computed polymorph = 115 meV/atom
D(E_F) = 4.3 states/eV per cell
calculated formation energy = 0.58 eV/atom
space group = No. 44

---

No. 3
This record from the Alexandria database describes an optimized crystal structure of CaGeTe2Ru. The functional is PBE-GGA.

Structure (CIF):
```
data_CaGeTe2Ru
_symmetry_space_group_name_H-M 'P 1'
_symmetry_Int_Tables_number 1
_cell_length_a 5.3943
_cell_length_b 5.3943
_cell_length_c 4.6525
_cell_angle_alpha 90.00
_cell_angle_beta 90.00
_cell_angle_gamma 90.00
loop_
_symmetry_equiv_pos_as_xyz
'x,y,z'
loop_
_atom_site_label
_atom_site_fract_x
_atom_site_fract_y
_atom_site_fract_z
Ca1 0.0000 0.0000 0.0000
Ge1 0.5000 0.5000 0.5000
Te1 0.0000 0.5000 0.5000
Te2 0.5000 0.0000 0.5000
Ru1 0.5000 0.5000 0.0000
```

D(E_F) = 2.7 states/eV per cell
ΔE_f (raw) = 15.4 kJ per mole of atoms
space group = No. 123

---

No. 4
This record from the Alexandria database describes an optimized crystal structure of Ta2SiTe. The functional is PBE-GGA.

Structure (CIF):
```
data_Ta2SiTe
_symmetry_space_group_name_H-M 'P 1'
_symmetry_Int_Tables_number 1
_cell_length_a 5.4323
_cell_length_b 5.4323
_cell_length_c 5.4323
_cell_angle_alpha 142.95
_cell_angle_beta 129.31
_cell_angle_gamma 64.43
loop_
_symmetry_equiv_pos_as_xyz
'x,y,z'
loop_
_atom_site_label
_atom_site_fract_x
_atom_site_fract_y
_atom_site_fract_z
Ta1 0.0000 0.0000 0.0000
Ta2 0.7246 0.2246 0.5000
Si1 0.2081 0.7081 0.5000
Te1 0.4797 0.4797 0.0000
```

ΔE to the lowest computed polymorph = 347 meV/atom
D(E_F) = 1.9 states/eV per cell
ΔE_f (raw) = 16.6 kJ per mole of atoms
space group = No. 44

---

No. 5
This record from the Alexandria database describes an optimized crystal structure of NiSnRu3. The functional is PBE-GGA.

Structure (CIF):
```
data_NiSnRu3
_symmetry_space_group_name_H-M 'P 1'
_symmetry_Int_Tables_number 1
_cell_length_a 4.4908
_cell_length_b 4.4908
_cell_length_c 4.4908
_cell_angle_alpha 90.00
_cell_angle_beta 90.00
_cell_angle_gamma 90.00
loop_
_symmetry_equiv_pos_as_xyz
'x,y,z'
loop_
_atom_site_label
_atom_site_fract_x
_atom_site_fract_y
_atom_site_fract_z
Ni1 0.0000 0.0000 0.0000
Sn1 0.5000 0.5000 0.5000
Ru1 0.0000 0.0000 0.5000
Ru2 0.0000 0.5000 0.0000
Ru3 0.5000 0.0000 0.0000
```

ΔE to the lowest computed polymorph = 0 meV/atom
D(E_F) = 5.2 states/eV per cell
calculated formation energy = 1.15 eV/atom
space group = No. 221

---

No. 6
This record from the Alexandria database describes an optimized crystal structure of PaNi5Ge3. The functional is PBE-GGA.

Structure (CIF):
```
data_PaNi5Ge3
_symmetry_space_group_name_H-M 'P 1'
_symmetry_Int_Tables_number 1
_cell_length_a 6.3607
_cell_length_b 6.3607
_cell_length_c 11.8664
_cell_angle_alpha 90.00
_cell_angle_beta 90.00
_cell_angle_gamma 146.67
loop_
_symmetry_equiv_pos_as_xyz
'x,y,z'
loop_
_atom_site_label
_atom_site_fract_x
_atom_site_fract_y
_atom_site_fract_z
Pa1 0.1374 0.8626 0.7500
Pa2 0.8626 0.1374 0.2500
Ni1 0.0000 0.0000 0.0000
Ni2 0.0000 0.0000 0.5000
Ni3 0.1953 0.8047 0.0645
Ni4 0.1953 0.8047 0.4355
Ni5 0.4518 0.5482 0.6475
Ni6 0.4518 0.5482 0.8525
Ni7 0.5482 0.4518 0.1475
Ni8 0.5482 0.4518 0.3525
Ni9 0.8047 0.1953 0.5645
Ni10 0.8047 0.1953 0.9355
Ge1 0.1310 0.8690 0.2500
Ge2 0.3803 0.6197 0.0443
Ge3 0.3803 0.6197 0.4557
Ge4 0.6197 0.3803 0.5443
Ge5 0.6197 0.3803 0.9557
Ge6 0.8690 0.1310 0.7500
```

D(E_F) = 18.3 states/eV per cell
calculated formation energy = -0.38 eV/atom
space group = No. 63

---

No. 7
This record from the Alexandria database describes an optimized crystal structure of Nd2TlI. The functional is PBE-GGA.

Structure (CIF):
```
data_Nd2TlI
_symmetry_space_group_name_H-M 'P 1'
_symmetry_Int_Tables_number 1
_cell_length_a 7.8681
_cell_length_b 7.8681
_cell_length_c 7.8681
_cell_angle_alpha 33.89
_cell_angle_beta 33.89
_cell_angle_gamma 33.89
loop_
_symmetry_equiv_pos_as_xyz
'x,y,z'
loop_
_atom_site_label
_atom_site_fract_x
_atom_site_fract_y
_atom_site_fract_z
Nd1 0.2424 0.2424 0.2424
Nd2 0.7576 0.7576 0.7576
Tl1 0.5000 0.5000 0.5000
I1 0.0000 0.0000 0.0000
```

ΔE to the lowest computed polymorph = 17 meV/atom
D(E_F) = 1.9 states/eV per cell
ΔE_f (raw) = -59.2 kJ per mole of atoms
space group = No. 166

---

No. 8
This record from the Alexandria database describes an optimized crystal structure of AcThCu2. The functional is PBE-GGA.

Structure (CIF):
```
data_AcThCu2
_symmetry_space_group_name_H-M 'P 1'
_symmetry_Int_Tables_number 1
_cell_length_a 5.2044
_cell_length_b 5.2044
_cell_length_c 5.2044
_cell_angle_alpha 60.00
_cell_angle_beta 60.00
_cell_angle_gamma 60.00
loop_
_symmetry_equiv_pos_as_xyz
'x,y,z'
loop_
_atom_site_label
_atom_site_fract_x
_atom_site_fract_y
_atom_site_fract_z
Ac1 0.0000 0.0000 0.0000
Th1 0.5000 0.5000 0.5000
Cu1 0.2500 0.2500 0.2500
Cu2 0.7500 0.7500 0.7500
```

ΔE to the lowest computed polymorph = 55 meV/atom
D(E_F) = 4.0 states/eV per cell
calculated formation energy = 0.00 eV/atom
space group = No. 225

---

Values for energy, eV/atom, ordered as above
-4.04; -6.23; -4.28; -7.90; -6.37; -6.19; -3.98; -4.93